## Rb3Cu2Br4 (PBE-GGA)

Data for a relaxed Rb3Cu2Br4 crystal.

Properties
E in eV/atom: -2.969
Mass density in g cm⁻³: 3.5
Total moment in μB/f.u.: 0.90
Formation energy without anion corrections in meV/atom: -993
DOS(E_F) in states/eV/cell: 4.6

Cell lengths 9.147, 9.147, 9.030 Å; angles 94.76, 94.76, 62.65 degrees
Sites, in units of the cell vectors:
1 Rb 0.026 0.974 0.750
2 Rb 0.267 0.423 0.324
3 Rb 0.423 0.267 0.824
4 Rb 0.577 0.733 0.176
5 Rb 0.733 0.577 0.676
6 Rb 0.974 0.026 0.250
7 Cu 0.002 0.368 0.011
8 Cu 0.368 0.002 0.511
9 Cu 0.632 0.998 0.489
10 Cu 0.998 0.632 0.989
11 Br 0.119 0.251 0.567
12 Br 0.249 0.658 0.012
13 Br 0.251 0.119 0.067
14 Br 0.342 0.751 0.488
15 Br 0.658 0.249 0.512
16 Br 0.749 0.881 0.933
17 Br 0.751 0.342 0.988
18 Br 0.881 0.749 0.433